A geometry-optimized AlPtRh structure, computed with PBEsol.

Summary:
Energy relative to the elements = -2.15 eV per formula unit
Relative energy among the computed polymorphs = 0 meV per atom

The structure in CIF format:
```
data_AlPtRh
_chemical_formula_sum 'Al2 Pt2 Rh2'
_space_group_name_H-M_alt 'I 4 m m'
_space_group_IT_number 107
_space_group_name_Hall 'I 4 -2'
_cell_length_a 2.851
_cell_length_b 2.851
_cell_length_c 10.209
_cell_angle_alpha 90.00
_cell_angle_beta 90.00
_cell_angle_gamma 90.00
loop_
_atom_site_label
_atom_site_type_symbol
_atom_site_fract_x
_atom_site_fract_y
_atom_site_fract_z
Al1 Al 0.000 0.000 0.000
Pt1 Pt 0.000 0.000 0.659
Rh1 Rh 0.000 0.000 0.354
```


A geometry-optimized Zn2AgHg structure, computed with PBEsol.

Summary:
Energy relative to the elements = 0.30 eV per formula unit

The structure in CIF format:
```
data_Zn2AgHg
_chemical_formula_sum 'Zn4 Ag2 Hg2'
_space_group_name_H-M_alt 'I m m m'
_space_group_IT_number 71
_space_group_name_Hall '-I 2 2'
_cell_length_a 3.008
_cell_length_b 4.926
_cell_length_c 9.066
_cell_angle_alpha 90.00
_cell_angle_beta 90.00
_cell_angle_gamma 90.00
loop_
_atom_site_label
_atom_site_type_symbol
_atom_site_fract_x
_atom_site_fract_y
_atom_site_fract_z
Zn1 Zn 0.000 0.000 0.244
Ag1 Ag 0.000 0.500 0.500
Hg1 Hg 0.000 0.500 0.000
```


A geometry-optimized Na2GePd2 structure, computed with PBEsol.

Summary:
Energy relative to the elements = -1.37 eV per formula unit

The structure in CIF format:
```
data_Na2GePd2
_chemical_formula_sum 'Na4 Ge2 Pd4'
_space_group_name_H-M_alt 'P 4/m b m'
_space_group_IT_number 127
_space_group_name_Hall '-P 4 2ab'
_cell_length_a 6.268
_cell_length_b 6.268
_cell_length_c 4.896
_cell_angle_alpha 90.00
_cell_angle_beta 90.00
_cell_angle_gamma 90.00
loop_
_atom_site_label
_atom_site_type_symbol
_atom_site_fract_x
_atom_site_fract_y
_atom_site_fract_z
Na1 Na 0.170 0.330 0.000
Ge1 Ge 0.000 0.000 0.500
Pd1 Pd 0.150 0.650 0.500
```


A geometry-optimized ZnInPt2 structure, computed with PBEsol.

Summary:
Energy relative to the elements = -1.39 eV per formula unit

The structure in CIF format:
```
data_ZnInPt2
_chemical_formula_sum 'Zn1 In1 Pt2'
_space_group_name_H-M_alt 'P m m 2'
_space_group_IT_number 25
_cell_length_a 2.886
_cell_length_b 4.030
_cell_length_c 5.537
_cell_angle_alpha 90.00
_cell_angle_beta 90.00
_cell_angle_gamma 90.00
loop_
_space_group_symop_operation_xyz
'x,y,z'
'-x,-y,z'
'-x,y,z'
'x,-y,z'
loop_
_atom_site_label
_atom_site_type_symbol
_atom_site_fract_x
_atom_site_fract_y
_atom_site_fract_z
Zn1 Zn 0.000 0.000 0.000
In1 In 0.500 0.500 0.324
Pt1 Pt 0.000 0.000 0.527
Pt2 Pt 0.500 0.500 0.840
```


A geometry-optimized In2RePt structure, computed with PBEsol.

Summary:
Energy relative to the elements = 0.52 eV per formula unit
Relative energy among the computed polymorphs = 0 meV per atom

The structure in CIF format:
```
data_In2RePt
_chemical_formula_sum 'In4 Re2 Pt2'
_space_group_name_H-M_alt 'C 1 m 1'
_space_group_IT_number 8
_cell_length_a 10.465
_cell_length_b 2.899
_cell_length_c 4.975
_cell_angle_alpha 90.00
_cell_angle_beta 112.94
_cell_angle_gamma 90.00
loop_
_space_group_symop_operation_xyz
'x,y,z'
'x,-y,z'
'x+1/2,y+1/2,z'
'x+1/2,-y+1/2,z'
loop_
_atom_site_label
_atom_site_type_symbol
_atom_site_fract_x
_atom_site_fract_y
_atom_site_fract_z
In1 In 0.000 0.000 0.000
In2 In 0.219 0.000 0.595
Re1 Re 0.252 0.500 0.104
Pt1 Pt 0.464 0.000 0.488
```


A geometry-optimized YTeCl structure, computed with PBEsol.

Summary:
E_form (uncorrected) = -1.4477 eV/atom

The structure in CIF format:
```
data_YTeCl
_chemical_formula_sum 'Y4 Te4 Cl4'
_space_group_name_H-M_alt 'F m m 2'
_space_group_IT_number 42
_space_group_name_Hall 'F 2 -2'
_cell_length_a 4.679
_cell_length_b 5.419
_cell_length_c 13.194
_cell_angle_alpha 90.00
_cell_angle_beta 90.00
_cell_angle_gamma 90.00
loop_
_atom_site_label
_atom_site_type_symbol
_atom_site_fract_x
_atom_site_fract_y
_atom_site_fract_z
Y1 Y 0.000 0.000 0.000
Te1 Te 0.000 0.000 0.639
Cl1 Cl 0.000 0.000 0.378
```